Entry 1:
{
  "formula": "La2CuOsC",
  "functional": "PBE-GGA",
  "state": "relaxed",
  "lattice": [[-0.511, 5.024, 1.580], [-4.533, 0.389, -2.702], [-1.978, -1.191, 3.146]],
  "species": ["C", "Os", "Cu", "La", "La"],
  "frac_coords": [[0.000, 0.000, 0.000], [0.000, 0.000, 0.500], [0.500, 0.500, 0.500], [0.000, 0.500, 0.000], [0.500, 0.000, 0.000]],
  "vol_a3_per_cell": 109,
  "formation_enthalpy_0k_ev_per_atom": -0.180,
  "crystal_system": "tetragonal"
}

=====

Entry 2:
{
  "formula": "TePW2",
  "functional": "PBE-GGA",
  "state": "relaxed",
  "lattice": [[0.986, 2.870, -0.328], [-1.308, -0.468, 2.717], [7.307, -2.150, 3.145]],
  "species": ["Te", "P", "W", "W"],
  "frac_coords": [[0.500, 0.500, 0.000], [0.500, 0.500, 0.500], [0.000, 0.000, 0.304], [0.000, 0.000, 0.696]],
  "vol_a3_per_cell": 71,
  "formation_energy_uncorrected_ev_per_atom": 0.71,
  "crystal_system": "orthorhombic"
}